[1]
DFT (GGA-PBE) results for Er4InSnO after structural relaxation.

abc: 8.9024 8.9024 6.4232
angles: 90.00 90.00 137.63
Closest atoms and distances in Å follow each position.
Fractional positions:
Er1 0.0000 0.5000 0.0000  2 O 2.29
Er2 0.0000 0.5000 0.5000  2 O 2.29
Er3 0.0721 0.9279 0.7500  3 In 3.07-3.28, 1 O 3.24, 2 Sn 3.28
Er4 0.4174 0.5826 0.7500  1 O 2.49
Er5 0.5000 0.0000 0.0000  2 O 2.29
Er6 0.5000 0.0000 0.5000  2 O 2.29
Er7 0.5826 0.4174 0.2500  1 O 2.49
Er8 0.9279 0.0721 0.2500  3 In 3.07-3.28, 1 O 3.24, 2 Sn 3.28
In1 0.1129 0.8871 0.2500  9 Er 3.07-3.28
In2 0.8871 0.1129 0.7500  9 Er 3.07-3.28
Sn1 0.3900 0.6100 0.2500  9 Er 3.20-3.28
Sn2 0.6100 0.3900 0.7500  9 Er 3.20-3.28
O1 0.2675 0.7325 0.7500  5 Er 2.29-2.49
O2 0.7325 0.2675 0.2500  5 Er 2.29-2.49

Results
E = -5.477 eV per atom
Theoretical density = 8.89 g cm⁻³
Formation energy without anion corrections = -116 kJ/mol of atoms
Space group = No. 63

[2]
DFT (GGA-PBE) results for RbBe2Pd2 after structural relaxation.

abc: 8.0509 8.0509 8.0509
angles: 154.08 154.08 36.98
Closest atoms and distances in Å follow each position.
Fractional positions:
Rb1 0.0000 0.0000 0.0000  8 Pd 3.54, 4 Rb 3.61
Be1 0.2500 0.7500 0.5000  4 Pd 2.27
Be2 0.7500 0.2500 0.5000  4 Pd 2.27
Pd1 0.3398 0.3398 0.0000  4 Be 2.27
Pd2 0.6602 0.6602 0.0000  4 Be 2.27

Results
E = -3.767 eV per atom
Theoretical density = 5.28 g cm⁻³
Energy relative to the elements = -0.01 eV per atom
Space group = No. 139

[3]
DFT (GGA-PBE) results for CoIrRuW after structural relaxation.

abc: 3.7539 3.7809 3.8618
angles: 90.00 90.00 90.00
Closest atoms and distances in Å follow each position.
Fractional positions:
Co1 0.0000 0.0000 0.0000  4 Ir 2.66, 4 Ru 2.69, 4 W 2.70
Ir1 0.5000 0.5000 0.0000  4 Co 2.66, 4 W 2.69, 4 Ru 2.70
Ru1 0.5000 0.0000 0.5000  4 W 2.66, 4 Co 2.69, 4 Ir 2.70
W1 0.0000 0.5000 0.5000  4 Ru 2.66, 4 Ir 2.69, 4 Co 2.70

Results
E = -9.693 eV per atom
Theoretical density = 16.24 g cm⁻³
Energy relative to the elements = -0.14 eV per atom
Space group = No. 47

[4]
DFT (GGA-PBE) results for BaPa2N4 after structural relaxation.

abc: 7.2236 7.2236 7.2236
angles: 60.00 60.00 60.00
Closest atoms and distances in Å follow each position.
Fractional positions:
Ba1 0.1250 0.1250 0.1250  4 N 2.68
Ba2 0.8750 0.8750 0.8750  4 N 2.68
Pa1 0.0000 0.5000 0.5000  6 N 2.32
Pa2 0.5000 0.0000 0.5000  6 N 2.32
Pa3 0.5000 0.5000 0.0000  6 N 2.32
Pa4 0.5000 0.5000 0.5000  6 N 2.32
N1 0.2764 0.2764 0.2764  3 Pa 2.32
N2 0.2764 0.2764 0.6708  3 Pa 2.32
N3 0.2764 0.6708 0.2764  3 Pa 2.32
N4 0.3292 0.7236 0.7236  3 Pa 2.32
N5 0.6708 0.2764 0.2764  3 Pa 2.32
N6 0.7236 0.3292 0.7236  3 Pa 2.32
N7 0.7236 0.7236 0.3292  3 Pa 2.32
N8 0.7236 0.7236 0.7236  3 Pa 2.32

Results
E = -9.271 eV per atom
Theoretical density = 8.17 g cm⁻³
Polymorph energy (0 for the lowest one) = 0.0 meV per atom
Formation energy without anion corrections = -147 kJ/mol of atoms
Space group = No. 227

[5]
DFT (GGA-PBE) results for KRbAg after structural relaxation.

abc: 8.7535 8.7535 8.7535
angles: 145.98 125.28 66.02
Closest atoms and distances in Å follow each position.
Fractional positions:
K1 0.2369 0.0000 0.2369  4 Ag 3.51, 1 K 3.81
K2 0.7631 0.0000 0.7631  4 Ag 3.51, 1 K 3.81
Rb1 0.2824 0.2824 0.0000  2 Ag 3.72
Rb2 0.7176 0.7176 0.0000  2 Ag 3.72
Ag1 0.0989 0.5989 0.5000  1 Ag 2.90
Ag2 0.9011 0.4011 0.5000  1 Ag 2.90

Results
E = -1.600 eV per atom
Theoretical density = 2.55 g cm⁻³
Energy relative to the elements = 0.04 eV per atom
Polymorph energy (0 for the lowest one) = 20.2 meV per atom
Space group = No. 71

Question: Which formula does entry 3 have?
Answer: CoIrRuW